Entry 1:
# Re2AuSe

An optimized crystal structure of Re2AuSe (GGA-PBE, Alexandria via LeMat-Bulk).

Calculated values
Energy relative to the elements, uncorrected   0.63 eV/atom
Symmetry   No. 166
Uncorrected energy   -7.28 eV per atom
V   63.7 Å³ per cell

Unit cell a=8.7264 b=8.7264 c=8.7264 alpha=19.34 beta=19.34 gamma=19.34
Last column: nearest neighbours and their distance in Å.
Fractional coordinates of all 4 atoms:
Au  0.7500  0.7500  0.7500  6 Re 2.87, 6 Au 2.93
Re  0.9931  0.9931  0.9931  3 Se 2.59, 3 Au 2.87
Re  0.5069  0.5069  0.5069  3 Se 2.59, 3 Au 2.87
Se  0.2500  0.2500  0.2500  6 Re 2.59


Entry 2:
# AcLuInIr

An optimized crystal structure of AcLuInIr (GGA-PBE, Alexandria via LeMat-Bulk).

Calculated values
Symmetry   No. 216
Uncorrected energy   -5.40 eV per atom
E_form   -0.346 eV/atom
V   103.6 Å³ per cell

Unit cell a=5.2718 b=5.2718 c=5.2718 alpha=60.00 beta=60.00 gamma=60.00
Last column: nearest neighbours and their distance in Å.
Fractional coordinates of all 4 atoms:
Ac  0.7500  0.7500  0.7500  4 Ir 3.23, 4 In 3.23
Ir  0.5000  0.5000  0.5000  4 Ac 3.23, 4 Lu 3.23
Lu  0.2500  0.2500  0.2500  4 In 3.23, 4 Ir 3.23
In  0.0000  0.0000  0.0000  4 Lu 3.23, 4 Ac 3.23


Entry 3:
# Rb2P2PdSe6

An optimized crystal structure of Rb2P2PdSe6 (GGA-PBE, Alexandria via LeMat-Bulk).

Calculated values
Energy relative to the elements, uncorrected   -0.40 eV/atom
Symmetry   No. 166
Uncorrected energy   -3.93 eV per atom
V   326.9 Å³ per cell

Unit cell a=7.2117 b=7.2117 c=8.3678 alpha=64.47 beta=64.47 gamma=60.00
Last column: nearest neighbours and their distance in Å.
Fractional coordinates of all 11 atoms:
Rb  0.7621  0.7621  0.7137  9 Se 3.62-3.93
Rb  0.2379  0.2379  0.2863  9 Se 3.62-3.93
P  0.4260  0.4260  0.7219  3 Se 2.21
P  0.5740  0.5740  0.2781  3 Se 2.21
Pd  0.0000  0.0000  0.0000  6 Se 2.65
Se  0.7607  0.7607  0.2448  1 P 2.21
Se  0.2339  0.7607  0.2448  1 P 2.21
Se  0.7607  0.2339  0.2448  1 P 2.21
Se  0.2393  0.7661  0.7552  1 P 2.21
Se  0.7661  0.2393  0.7552  1 P 2.21
Se  0.2393  0.2393  0.7552  1 P 2.21


Entry 4:
# AcPr2Y

An optimized crystal structure of AcPr2Y (GGA-PBE, Alexandria via LeMat-Bulk).

Calculated values
Polymorph energy (0 for the lowest one)   7 meV per atom
Symmetry   No. 123
Uncorrected energy   -5.01 eV per atom
E_form   0.023 eV/atom
V   148.2 Å³ per cell

Unit cell a=5.3180 b=5.2783 c=5.2783 alpha=90.00 beta=90.00 gamma=90.00
Last column: nearest neighbours and their distance in Å.
Fractional coordinates of all 4 atoms:
Pr  0.0000  0.0000  0.5000  4 Pr 3.73, 4 Ac 3.75, 4 Y 3.75
Pr  0.0000  0.5000  0.0000  4 Pr 3.73, 4 Ac 3.75, 4 Y 3.75
Y  0.5000  0.0000  0.0000  4 Ac 3.73, 8 Pr 3.75
Ac  0.5000  0.5000  0.5000  4 Y 3.73, 8 Pr 3.75